[1]
Crystalline KGeMoCl2 at its relaxed geometry, computed with PBE. Values from VASP.

Structure (Quantum ESPRESSO input):
```
&SYSTEM
  ibrav = 0, nat = 5, ntyp = 4
/
ATOMIC_SPECIES
K 39.10 K.upf
Ge 72.64 Ge.upf
Mo 95.94 Mo.upf
Cl 35.45 Cl.upf
CELL_PARAMETERS angstrom
5.435 0.000 0.000
0.000 5.435 0.000
0.000 0.000 6.077
ATOMIC_POSITIONS angstrom
K 0.000 0.000 0.000
Ge 2.718 2.718 3.039
Mo 0.000 0.000 3.039
Cl 0.000 2.718 0.000
Cl 2.718 0.000 0.000
```

Output
crystal system	tetragonal
formation energy (no corrections)	0.928	eV per atom
size of the total moment	0.98	μB per atom
symmetry	P4/mmm

[2]
Crystalline K2NaGeCl5 at its relaxed geometry, computed with PBE. Values from VASP.

Structure (Quantum ESPRESSO input):
```
&SYSTEM
  ibrav = 0, nat = 18, ntyp = 4
/
ATOMIC_SPECIES
K 39.10 K.upf
Na 22.99 Na.upf
Ge 72.64 Ge.upf
Cl 35.45 Cl.upf
CELL_PARAMETERS angstrom
2.204 -8.924 0.000
2.204 8.924 0.000
0.000 0.000 13.554
ATOMIC_POSITIONS angstrom
K 2.204 7.032 6.777
K 2.204 6.314 1.992
K 2.204 -6.314 8.769
K 2.204 -7.032 0.000
Na 2.204 5.036 11.885
Na 2.204 -5.036 5.108
Ge 2.204 0.715 3.883
Ge 2.204 -0.715 10.660
Cl 2.204 7.869 12.101
Cl 2.204 3.969 6.905
Cl 2.204 3.048 3.193
Cl 2.204 2.348 11.228
Cl 2.204 0.012 8.259
Cl 2.204 -0.012 1.481
Cl 2.204 -2.348 4.451
Cl 2.204 -3.048 9.970
Cl 2.204 -3.969 0.128
Cl 2.204 -7.869 5.324
```

Output
crystal system	orthorhombic
formation energy (no corrections)	-1.512	eV per atom
size of the total moment	0.00	μB per atom
symmetry	Cmc2_1

[3]
Crystalline KNpGeCl6 at its relaxed geometry, computed with PBE. Values from VASP.

Structure (Quantum ESPRESSO input):
```
&SYSTEM
  ibrav = 0, nat = 18, ntyp = 4
/
ATOMIC_SPECIES
K 39.10 K.upf
Np 237.00 Np.upf
Ge 72.64 Ge.upf
Cl 35.45 Cl.upf
CELL_PARAMETERS angstrom
-4.894 5.048 7.127
4.894 -5.048 7.127
4.894 5.048 -7.127
ATOMIC_POSITIONS angstrom
K 0.000 2.524 0.174
K 4.894 2.524 6.953
Np 4.894 0.000 0.000
Np 0.000 0.000 7.127
Ge 2.447 2.524 -3.563
Ge 2.447 -2.524 3.563
Cl 2.787 -0.626 1.637
Cl 4.894 -2.524 4.316
Cl 7.001 -0.626 1.637
Cl 2.787 4.422 -1.637
Cl 2.107 -0.626 5.489
Cl 4.894 2.524 1.099
Cl 0.000 2.524 6.027
Cl 2.787 5.675 1.637
Cl 2.107 0.626 8.764
Cl -2.107 5.675 5.489
Cl 0.000 7.573 2.810
Cl 2.107 5.675 5.489
```

Output
crystal system	orthorhombic
formation energy (no corrections)	-1.395	eV per atom
size of the total moment	0.44	μB per atom
symmetry	Imma

[4]
Crystalline KGePCl2 at its relaxed geometry, computed with PBE. Values from VASP.

Structure (Quantum ESPRESSO input):
```
&SYSTEM
  ibrav = 0, nat = 5, ntyp = 4
/
ATOMIC_SPECIES
K 39.10 K.upf
Ge 72.64 Ge.upf
P 30.97 P.upf
Cl 35.45 Cl.upf
CELL_PARAMETERS angstrom
5.528 0.000 0.000
0.000 5.528 0.000
0.000 0.000 5.907
ATOMIC_POSITIONS angstrom
K 0.000 0.000 0.000
Ge 2.764 2.764 2.954
P 0.000 0.000 2.954
Cl 0.000 2.764 0.000
Cl 2.764 0.000 0.000
```

Output
crystal system	tetragonal
energy above the lowest structure with this stoichiometry	0.997	eV/atom
formation energy (no corrections)	0.488	eV per atom
size of the total moment	0.40	μB per atom
symmetry	P4/mmm